Arrangement one

A relaxed structure of RbSbSe3. Source: Alexandria via LeMat-Bulk, functional PBE.

Geometry as CIF:
```
data_RbSbSe3
_cell_length_a 5.448
_cell_length_b 5.448
_cell_length_c 5.448
_cell_angle_alpha 90.00
_cell_angle_beta 90.00
_cell_angle_gamma 90.00
_symmetry_space_group_name_H-M 'P m -3 m'
_symmetry_Int_Tables_number 221
_symmetry_space_group_name_Hall '-P 4 2 3'
loop_
_atom_site_label
_atom_site_fract_x
_atom_site_fract_y
_atom_site_fract_z
Rb1 0.000 0.000 0.000
Sb1 0.500 0.500 0.500
Se1 0.000 0.500 0.500
```

Spin magnetization ... 0.00 μB per atom

=====

Arrangement two

A relaxed structure of RbSbSe3. Source: Alexandria via LeMat-Bulk, functional PBE.

Geometry as CIF:
```
data_RbSbSe3
_cell_length_a 5.946
_cell_length_b 5.946
_cell_length_c 5.946
_cell_angle_alpha 90.00
_cell_angle_beta 90.00
_cell_angle_gamma 90.00
_symmetry_space_group_name_H-M 'P m -3 m'
_symmetry_Int_Tables_number 221
_symmetry_space_group_name_Hall '-P 4 2 3'
loop_
_atom_site_label
_atom_site_fract_x
_atom_site_fract_y
_atom_site_fract_z
Rb1 0.000 0.000 0.000
Sb1 0.500 0.500 0.500
Se1 0.000 0.000 0.500
```

Spin magnetization ... 0.40 μB per atom

=====

Arrangement three

A relaxed structure of RbSbSe3. Source: Alexandria via LeMat-Bulk, functional PBE.

Geometry as CIF:
```
data_RbSbSe3
_cell_length_a 8.0007
_cell_length_b 8.0007
_cell_length_c 16.8965
_cell_angle_alpha 90.00
_cell_angle_beta 90.00
_cell_angle_gamma 120.00
_symmetry_space_group_name_H-M 'R 3 c'
_symmetry_Int_Tables_number 161
_symmetry_space_group_name_Hall 'R 3 -2"c'
loop_
_atom_site_label
_atom_site_fract_x
_atom_site_fract_y
_atom_site_fract_z
Rb1 0.0000 0.0000 0.0000
Sb1 0.0000 0.0000 0.2488
Se1 0.0001 0.4302 0.0004
```

Spin magnetization ... 0.00 μB per atom

=====

Energetically preferred structure: arrangement three | next structure: +1.5 kJ/mol of atoms